(1)
DFT (PBE-GGA) results for a relaxed structure of Np2Tl3RuSe6.

```
Np2Tl3RuSe6
1.0
-4.516 -1.769 4.735
0.545 -3.622 -5.703
6.853 -2.885 3.834
Tl Se Ru Np
3 6 1 2
direct
0.821 0.179 0.500
0.500 0.500 0.500
0.179 0.821 0.500
0.371 0.063 0.195
0.063 0.371 0.195
0.629 0.937 0.805
0.234 0.234 0.795
0.766 0.766 0.205
0.937 0.629 0.805
0.000 0.000 0.000
0.664 0.336 0.000
0.336 0.664 0.000
```

Summary:
Its space group is C2/m, No. 12. For the density of states at the Fermi level, the calculation gives 1.84 states/eV/atom. For the total energy, the calculation gives -70.960 eV/cell. The calculation puts the volume at 26.66 Å³/atom. As for the uncorrected formation energy: -7.80 eV/f.u. The crystal system is monoclinic.


(2)
DFT (PBE-GGA) results for a relaxed structure of TmScCuRh.

```
TmScCuRh
1.0
-3.202 -3.454 0.105
-0.860 -2.293 4.024
-4.087 0.645 2.251
Sc Rh Tm Cu
1 1 1 1
direct
0.000 0.000 0.000
0.750 0.750 0.750
0.500 0.500 0.500
0.250 0.250 0.250
```

Summary:
Its space group is F-43m, No. 216. For the density of states at the Fermi level, the calculation gives 0.92 states/eV/atom. For the total energy, the calculation gives -24.716 eV/cell. The calculation puts the volume at 18.48 Å³/atom. The formation enthalpy at 0 K comes out at -0.62 eV/atom. The crystal system is cubic.


(3)
DFT (PBE-GGA) results for a relaxed structure of AlHSe2.

```
AlHSe2
1.0
3.933 0.000 0.002
-0.001 6.392 0.613
-0.004 -0.421 6.458
Al H Se
2 2 4
direct
0.143 0.213 0.726
0.422 0.713 0.726
0.226 0.967 0.313
0.338 0.467 0.313
0.601 0.387 0.909
0.053 0.498 0.463
0.511 0.998 0.463
0.964 0.887 0.909
```

Summary:
Its space group is Pc, No. 7. For the density of states at the Fermi level, the calculation gives 0.00 states/eV/atom. For the total energy, the calculation gives -32.089 eV/cell. The calculation puts the volume at 20.42 Å³/atom. The crystal system is monoclinic. The relative energy among the computed polymorphs comes out at 5.1 kJ/mol of atoms.